# ZnNiTe2N PBEsol optimized geometry
data_ZnNiTe2N
_chemical_formula_sum 'Zn1 Ni1 Te2 N1'
_symmetry_space_group_name_H-M 'P 1'
_symmetry_Int_Tables_number 1
_symmetry_space_group_name_Hall 'P 1'
_cell_length_a 3.362
_cell_length_b 5.312
_cell_length_c 5.312
_cell_angle_alpha 90.00
_cell_angle_beta 90.00
_cell_angle_gamma 90.00
loop_
_atom_site_label
_atom_site_fract_x
_atom_site_fract_y
_atom_site_fract_z
_atom_site_occupancy
Ni1 0.000 0.000 0.000 1
Zn1 0.500 0.500 0.500 1
Te1 0.000 0.000 0.500 1
Te2 0.000 0.500 0.000 1
N1 0.500 0.000 0.000 1
# Energy relative to the elements, uncorrected, eV per atom: 0.368
# Density of states at the Fermi level, states/eV/cell: 2.6
# Space-group type: P4/mmm (123)
# Total magnetization, μB/f.u.: 0.0
# Calculated density, g/cm3: 6.885
# Total DFT energy (no corrections), eV/atom: -4.30

***

# Li2CaV12O32 PBEsol optimized geometry
data_Li2CaV12O32
_chemical_formula_sum 'Li2 Ca1 V12 O32'
_symmetry_space_group_name_H-M 'P 1'
_symmetry_Int_Tables_number 1
_symmetry_space_group_name_Hall 'P 1'
_cell_length_a 7.114
_cell_length_b 7.818
_cell_length_c 12.021
_cell_angle_alpha 105.79
_cell_angle_beta 90.00
_cell_angle_gamma 117.06
loop_
_atom_site_label
_atom_site_fract_x
_atom_site_fract_y
_atom_site_fract_z
_atom_site_occupancy
Li1 0.607 0.755 0.687 1
Li2 0.148 0.755 0.687 1
Ca1 0.874 0.749 0.333 1
V1 0.697 0.394 0.461 1
V2 0.200 0.401 0.461 1
V3 0.803 0.108 0.547 1
V4 0.304 0.108 0.547 1
V5 0.025 0.051 0.916 1
V6 0.527 0.054 0.917 1
V7 0.476 0.448 0.079 1
V8 0.972 0.448 0.079 1
V9 0.580 0.159 0.186 1
V10 0.089 0.178 0.191 1
V11 0.918 0.335 0.809 1
V12 0.417 0.335 0.809 1
O1 0.486 0.972 0.040 1
O2 0.992 0.984 0.044 1
O3 0.013 0.525 0.952 1
O4 0.511 0.525 0.952 1
O5 0.634 0.269 0.826 1
O6 0.133 0.265 0.826 1
O7 0.868 0.237 0.171 1
O8 0.369 0.237 0.171 1
O9 0.188 0.375 0.074 1
O10 0.679 0.357 0.063 1
O11 0.318 0.136 0.927 1
O12 0.818 0.136 0.927 1
O13 0.708 0.417 0.321 1
O14 0.213 0.426 0.324 1
O15 0.784 0.069 0.682 1
O16 0.286 0.069 0.682 1
O17 0.598 0.195 0.548 1
O18 0.096 0.192 0.546 1
O19 0.906 0.312 0.461 1
O20 0.406 0.312 0.461 1
O21 0.812 0.625 0.546 1
O22 0.311 0.623 0.558 1
O23 0.694 0.884 0.454 1
O24 0.190 0.884 0.454 1
O25 0.922 0.844 0.808 1
O26 0.426 0.851 0.805 1
O27 0.599 0.653 0.185 1
O28 0.054 0.653 0.185 1
O29 0.510 0.021 0.269 1
O30 0.016 0.033 0.273 1
O31 0.988 0.473 0.723 1
O32 0.484 0.473 0.723 1
# Energy relative to the elements, uncorrected, eV per atom: -2.349
# Space-group type: Cm (8)
# Total magnetization, μB/f.u.: 0.0
# Calculated density, g/cm3: 3.448
# Total DFT energy (no corrections), eV/atom: -8.51

***

# MnCrCo2 PBEsol optimized geometry
data_MnCrCo2
_chemical_formula_sum 'Mn1 Cr1 Co2'
_symmetry_space_group_name_H-M 'P 1'
_symmetry_Int_Tables_number 1
_symmetry_space_group_name_Hall 'P 1'
_cell_length_a 2.424
_cell_length_b 4.247
_cell_length_c 4.247
_cell_angle_alpha 110.49
_cell_angle_beta 90.00
_cell_angle_gamma 90.00
loop_
_atom_site_label
_atom_site_fract_x
_atom_site_fract_y
_atom_site_fract_z
_atom_site_occupancy
Cr1 0.500 0.000 0.000 1
Mn1 0.500 0.500 0.500 1
Co1 0.000 0.500 0.000 1
Co2 0.000 0.000 0.500 1
# Density of states at the Fermi level, states/eV/cell: 3.7
# Space-group type: Cmmm (65)
# Total magnetization, μB/f.u.: 0.6
# Calculated density, g/cm3: 9.112
# Total DFT energy (no corrections), eV/atom: -8.85